[1]
Below is Sm3Tm12Cd after structural relaxation, with properties calculated at the PBE-GGA level.

Cell: 4.924 4.924 19.846 Å, 90.00 90.00 90.00°
Space group P4/mmm (No. 123)
One atom of each set of equivalent atoms:
Sm 0.000 0.000 0.000 (multiplicity 1)
Sm 0.000 0.000 0.252 (multiplicity 2)
Tm 0.000 0.500 0.127 (multiplicity 4)
Tm 0.000 0.500 0.380 (multiplicity 4)
Tm 0.500 0.500 0.000 (multiplicity 1)
Tm 0.500 0.500 0.257 (multiplicity 2)
Tm 0.500 0.500 0.500 (multiplicity 1)
Cd 0.000 0.000 0.500 (multiplicity 1)

[2]
Below is CsCa2Ag after structural relaxation, with properties calculated at the PBE-GGA level.

Cell: 4.3664 4.3664 35.3415 Å, 90.00 90.00 120.00°
Space group R-3m (No. 166, hexagonal axes)
One atom of each set of equivalent atoms:
Cs 0.0000 0.0000 0.0000 (multiplicity 3)
Ca 0.0000 0.0000 0.1192 (multiplicity 6)
Ag 0.0000 0.0000 0.5000 (multiplicity 3)

Number 1: E_form 0.02 eV per formula unit. Number 2: E_form 0.15 eV per formula unit.